The following is a DFT calculation (PBE) of a geometry-optimized Er2AsS structure.

The structure belongs to space group Cmcm (No. 63); the cell edges are 4.131, 16.847 and 5.602 Å and the angles 90.00°, 90.00° and 90.00°. The inequivalent atoms are Er at (0.000, 0.082, 0.250), Er at (0.000, 0.310, 0.250), As at (0.000, 0.310, 0.750) and S at (0.000, 0.077, 0.750).

As for the energy relative to the lowest polymorph listed for this composition: 2.79 kcal/mol of atoms. The calculated density is 7.52 g cm⁻³. The calculation puts the formation energy from raw total energies at -1.66 eV per atom. The value obtained for the electronic total energy is -6.134 eV/atom. The crystal system is orthorhombic.

The following is a DFT calculation (PBE) of a geometry-optimized DyPuS2 structure.

The structure belongs to space group R-3m (No. 166, hexagonal axes); the cell edges are 3.9166, 3.9166 and 19.3924 Å and the angles 90.00°, 90.00° and 120.00°. The inequivalent atoms are Dy at (0.0000, 0.0000, 0.0000), Pu at (0.0000, 0.0000, 0.5000) and S at (0.0000, 0.0000, 0.2513).

As for the energy relative to the lowest polymorph listed for this composition: 0.00 kcal/mol of atoms. The calculated density is 9.10 g cm⁻³. The calculation puts the formation energy from raw total energies at -1.91 eV per atom. The value obtained for the electronic total energy is -8.706 eV/atom. The crystal system is trigonal.

The following is a DFT calculation (PBE) of a geometry-optimized BaBeOs structure.

The structure belongs to space group P-6m2 (No. 187); the cell edges are 3.9739, 3.9739 and 4.8719 Å and the angles 90.00°, 90.00° and 120.00°. The inequivalent atoms are Ba at (0.0000, 0.0000, 0.0000), Be at (0.6667, 0.3333, 0.5000) and Os at (0.3333, 0.6667, 0.5000).

As for the energy relative to the lowest polymorph listed for this composition: 2.96 kcal/mol of atoms. The calculated density is 8.39 g cm⁻³. The value obtained for the electronic total energy is -5.073 eV/atom. Its formation energy is 0.5528 eV/atom. The crystal system is hexagonal.

The following is a DFT calculation (PBE) of a geometry-optimized MgV2PtN structure.

The structure belongs to space group P4/mmm (No. 123); the cell edges are 3.916, 3.916 and 4.263 Å and the angles 90.00°, 90.00° and 90.00°. The inequivalent atoms are Mg at (0.000, 0.000, 0.000), V at (0.000, 0.500, 0.500), Pt at (0.500, 0.500, 0.000) and N at (0.000, 0.000, 0.500).

The calculated density is 8.52 g cm⁻³. The calculation puts the formation energy from raw total energies at -0.63 eV per atom. The value obtained for the electronic total energy is -7.465 eV/atom. The crystal system is tetragonal.

The following is a DFT calculation (PBE) of a geometry-optimized CsNpPtO6 structure.

The structure belongs to space group Imma (No. 74); the cell edges are 7.317, 7.864 and 10.647 Å and the angles 90.00°, 90.00° and 90.00°. The inequivalent atoms are Cs at (0.000, 0.250, 0.118), Np at (0.000, 0.000, 0.500), Pt at (0.250, 0.250, 0.750), O at (0.000, 0.250, 0.427), O at (0.000, 0.250, 0.825) and O at (0.193, 0.067, 0.624).

The calculated density is 7.17 g cm⁻³. The calculation puts the formation energy from raw total energies at -1.77 eV per atom. The value obtained for the electronic total energy is -7.277 eV/atom. The crystal system is orthorhombic.

The following is a DFT calculation (PBE) of a geometry-optimized TmSc2CdN structure.

The structure belongs to space group P4/mmm (No. 123); the cell edges are 4.501, 4.501 and 4.717 Å and the angles 90.00°, 90.00° and 90.00°. The inequivalent atoms are Tm at (0.000, 0.000, 0.000), Sc at (0.000, 0.500, 0.500), Cd at (0.500, 0.500, 0.000) and N at (0.000, 0.000, 0.500).

The calculated density is 6.69 g cm⁻³. The calculation puts the formation energy from raw total energies at -0.95 eV per atom. The value obtained for the electronic total energy is -6.220 eV/atom. The crystal system is tetragonal.

The following is a DFT calculation (PBE) of a geometry-optimized Li2ZnRu structure.

The structure belongs to space group P4mm (No. 99); the cell edges are 3.233, 3.233 and 5.546 Å and the angles 90.00°, 90.00° and 90.00°. The inequivalent atoms are Li at (0.000, 0.000, 0.000), Li at (0.500, 0.500, 0.267), Zn at (0.500, 0.500, 0.717) and Ru at (0.000, 0.000, 0.515).

The calculated density is 5.17 g cm⁻³. The value obtained for the electronic total energy is -3.493 eV/atom. Its formation energy is 0.1009 eV/atom. The crystal system is tetragonal.

The following is a DFT calculation (PBE) of a geometry-optimized Ga2SiAg structure.

The structure belongs to space group I-42d (No. 122); the cell edges are 7.776, 7.776 and 5.118 Å and the angles 90.00°, 90.00° and 90.00°. The inequivalent atoms are Ga at (0.193, 0.750, 0.125), Si at (0.000, 0.000, 0.000) and Ag at (0.000, 0.000, 0.500).

The calculated density is 5.91 g cm⁻³. The calculation puts the formation energy from raw total energies at 0.23 eV per atom. The value obtained for the electronic total energy is -3.352 eV/atom. The crystal system is tetragonal.

Which formula does entry 7 have?
Li2ZnRu

Which of these has the highest electronic total energy?
Ga2SiAg